Cu2RhPb | PBE-GGA | optimized geometry

a = 4.9205 Å, b = 4.9205 Å, c = 4.9205 Å
α = 132.95°, β = 132.95°, γ = 68.73°
Fractional coordinates of all 4 atoms:
Cu 0.0000 0.0000 0.0000
Cu 0.2500 0.7500 0.5000
Pb 0.5000 0.5000 0.0000
Rh 0.7500 0.2500 0.5000

Output
Size of the total moment (μB/f.u.): 0.000
Total DFT energy (no corrections) (eV per atom): -4.706
DFT formation energy (eV/atom): 0.107

---

CuRhPb | PBE-GGA | optimized geometry

a = 4.9669 Å, b = 4.9674 Å, c = 3.4540 Å
α = 69.65°, β = 69.66°, γ = 40.69°
Fractional coordinates of all 3 atoms:
Cu 0.0093 0.0093 0.9907
Pb 0.3330 0.3330 0.6670
Rh 0.6577 0.6577 0.3423

Output
Size of the total moment (μB/f.u.): 0.000
Total DFT energy (no corrections) (eV per atom): -4.911
DFT formation energy (eV/atom): 0.141

---

CuRhPb2 | PBE-GGA | optimized geometry

a = 4.8533 Å, b = 4.8533 Å, c = 4.8533 Å
α = 60.00°, β = 60.00°, γ = 60.00°
Fractional coordinates of all 4 atoms:
Pb 0.2500 0.2500 0.2500
Pb 0.7500 0.7500 0.7500
Rh 0.5000 0.5000 0.5000
Cu 0.0000 0.0000 0.0000

Output
Size of the total moment (μB/f.u.): 0.000
Total DFT energy (no corrections) (eV per atom): -4.500
DFT formation energy (eV/atom): 0.216

---

CuRh2Pb | PBE-GGA | optimized geometry

a = 4.9601 Å, b = 5.3249 Å, c = 2.9720 Å
α = 75.13°, β = 87.24°, γ = 116.89°
Fractional coordinates of all 4 atoms:
Cu 0.0000 0.5000 0.5000
Pb 0.5000 0.5000 0.0000
Rh 0.0000 0.0000 0.0000
Rh 0.5000 0.0000 0.5000

Output
Size of the total moment (μB/f.u.): 0.000
Total DFT energy (no corrections) (eV per atom): -5.379
DFT formation energy (eV/atom): 0.248

---

CuRh2Pb2 | PBE-GGA | optimized geometry

a = 4.4454 Å, b = 4.4454 Å, c = 6.4717 Å
α = 69.91°, β = 69.91°, γ = 90.00°
Fractional coordinates of all 5 atoms:
Pb 0.7500 0.2500 0.5000
Pb 0.2500 0.7500 0.5000
Rh 0.3907 0.3907 0.2186
Rh 0.6093 0.6093 0.7814
Cu 0.0000 0.0000 0.0000

Output
Size of the total moment (μB/f.u.): 0.000
Total DFT energy (no corrections) (eV per atom): -4.693
DFT formation energy (eV/atom): 0.550

---

CuRh2Pb | PBE-GGA | optimized geometry

a = 3.9873 Å, b = 3.9873 Å, c = 9.5180 Å
α = 77.91°, β = 77.91°, γ = 90.00°
Fractional coordinates of all 8 atoms:
Pb 0.0000 0.0000 0.0000
Pb 0.7500 0.2500 0.5000
Rh 0.5728 0.1250 0.2500
Rh 0.1772 0.6250 0.2500
Rh 0.3750 0.4272 0.7500
Rh 0.8750 0.8228 0.7500
Cu 0.5000 0.5000 0.0000
Cu 0.2500 0.7500 0.5000

Output
Size of the total moment (μB/f.u.): 0.000
Total DFT energy (no corrections) (eV per atom): -5.266
DFT formation energy (eV/atom): 0.360

---

CuRhPb2 | PBE-GGA | optimized geometry

a = 4.9152 Å, b = 4.9152 Å, c = 4.9152 Å
α = 60.00°, β = 60.00°, γ = 60.00°
Fractional coordinates of all 4 atoms:
Cu 0.5000 0.5000 0.5000
Pb 0.0000 0.0000 0.0000
Pb 0.2500 0.2500 0.2500
Rh 0.7500 0.7500 0.7500

Output
Size of the total moment (μB/f.u.): 0.000
Total DFT energy (no corrections) (eV per atom): -4.294
DFT formation energy (eV/atom): 0.422

---

CuRhPb2 | PBE-GGA | optimized geometry

a = 3.3640 Å, b = 3.3686 Å, c = 7.6920 Å
α = 90.00°, β = 90.00°, γ = 90.00°
Fractional coordinates of all 4 atoms:
Cu 0.5000 0.5000 0.7058
Pb 0.0000 0.0000 0.9212
Pb 0.5000 0.5000 0.3268
Rh 0.0000 0.0000 0.5462

Output
Size of the total moment (μB/f.u.): 0.001
Total DFT energy (no corrections) (eV per atom): -4.630
DFT formation energy (eV/atom): 0.086

---

CuRhPb2 | PBE-GGA | optimized geometry

a = 8.5742 Å, b = 8.5742 Å, c = 8.5742 Å
α = 22.88°, β = 22.88°, γ = 22.88°
Fractional coordinates of all 4 atoms:
Cu 0.7500 0.7500 0.7500
Pb 0.9988 0.9988 0.9988
Pb 0.5012 0.5012 0.5012
Rh 0.2500 0.2500 0.2500

Output
Size of the total moment (μB/f.u.): 0.000
Total DFT energy (no corrections) (eV per atom): -4.491
DFT formation energy (eV/atom): 0.225

---

Cu2RhPb | PBE-GGA | optimized geometry

a = 5.4441 Å, b = 5.4441 Å, c = 3.0206 Å
α = 74.63°, β = 74.63°, γ = 119.89°
Fractional coordinates of all 4 atoms:
Cu 0.0000 0.0000 0.0000
Cu 0.5000 0.5000 0.0000
Pb 0.5000 0.0000 0.5000
Rh 0.0000 0.5000 0.5000

Output
Size of the total moment (μB/f.u.): 0.000
Total DFT energy (no corrections) (eV per atom): -4.566
DFT formation energy (eV/atom): 0.247

---

Cu2RhPb | PBE-GGA | optimized geometry

a = 8.6917 Å, b = 8.6917 Å, c = 8.6917 Å
α = 20.29°, β = 20.29°, γ = 20.29°
Fractional coordinates of all 4 atoms:
Cu 0.0085 0.0085 0.0085
Cu 0.4915 0.4915 0.4915
Pb 0.2500 0.2500 0.2500
Rh 0.7500 0.7500 0.7500

Output
Size of the total moment (μB/f.u.): 0.399
Total DFT energy (no corrections) (eV per atom): -4.381
DFT formation energy (eV/atom): 0.432

---

Cu2RhPb | PBE-GGA | optimized geometry

a = 8.2581 Å, b = 8.2581 Å, c = 8.2581 Å
α = 21.79°, β = 21.79°, γ = 21.79°
Fractional coordinates of all 4 atoms:
Cu 0.9981 0.9981 0.9981
Cu 0.2608 0.2608 0.2608
Pb 0.4989 0.4989 0.4989
Rh 0.7423 0.7423 0.7423

Output
Size of the total moment (μB/f.u.): 0.000
Total DFT energy (no corrections) (eV per atom): -4.449
DFT formation energy (eV/atom): 0.364

---

CuRh2Pb2 | PBE-GGA | optimized geometry

a = 6.8948 Å, b = 6.8948 Å, c = 3.9971 Å
α = 90.00°, β = 90.00°, γ = 90.00°
Fractional coordinates of all 10 atoms:
Pb 0.1647 0.6647 0.5000
Pb 0.6647 0.8353 0.5000
Pb 0.8353 0.3353 0.5000
Pb 0.3353 0.1647 0.5000
Rh 0.3549 0.8549 0.0000
Rh 0.8549 0.6451 0.0000
Rh 0.6451 0.1451 0.0000
Rh 0.1451 0.3549 0.0000
Cu 0.0000 0.0000 0.0000
Cu 0.5000 0.5000 0.0000

Output
Size of the total moment (μB/f.u.): 0.000
Total DFT energy (no corrections) (eV per atom): -5.154
DFT formation energy (eV/atom): 0.089

---

Cu2RhPb | PBE-GGA | optimized geometry

a = 3.9807 Å, b = 3.9780 Å, c = 3.9575 Å
α = 90.00°, β = 90.00°, γ = 90.00°
Fractional coordinates of all 4 atoms:
Cu 0.0000 0.0000 0.0000
Cu 0.5000 0.5000 0.0000
Pb 0.5000 0.0000 0.5000
Rh 0.0000 0.5000 0.5000

Output
Size of the total moment (μB/f.u.): 0.000
Total DFT energy (no corrections) (eV per atom): -4.704
DFT formation energy (eV/atom): 0.109

---

Cu2RhPb | PBE-GGA | optimized geometry

a = 5.0631 Å, b = 5.0631 Å, c = 3.9228 Å
α = 66.62°, β = 66.62°, γ = 44.37°
Fractional coordinates of all 4 atoms:
Cu 0.9993 0.9993 0.9991
Cu 0.5007 0.5007 0.5009
Pb 0.7500 0.7500 0.7500
Rh 0.2500 0.2500 0.2500

Output
Size of the total moment (μB/f.u.): 0.000
Total DFT energy (no corrections) (eV per atom): -4.651
DFT formation energy (eV/atom): 0.162

---

Cu2RhPb | PBE-GGA | optimized geometry

a = 3.8356 Å, b = 3.8356 Å, c = 9.8475 Å
α = 78.77°, β = 78.77°, γ = 90.00°
Fractional coordinates of all 8 atoms:
Pb 0.0000 0.0000 0.0000
Pb 0.7500 0.2500 0.5000
Rh 0.5000 0.5000 0.0000
Rh 0.2500 0.7500 0.5000
Cu 0.5856 0.1250 0.2500
Cu 0.1644 0.6250 0.2500
Cu 0.3750 0.4144 0.7500
Cu 0.8750 0.8356 0.7500

Output
Size of the total moment (μB/f.u.): 0.000
Total DFT energy (no corrections) (eV per atom): -4.503
DFT formation energy (eV/atom): 0.310

---

CuRhPb | PBE-GGA | optimized geometry

a = 4.3630 Å, b = 4.3630 Å, c = 3.1554 Å
α = 90.00°, β = 90.00°, γ = 120.00°
Fractional coordinates of all 3 atoms:
Cu 0.0000 0.0000 0.9888
Pb 0.6667 0.3333 0.3169
Rh 0.3333 0.6667 0.6944

Output
Size of the total moment (μB/f.u.): 0.000
Total DFT energy (no corrections) (eV per atom): -4.851
DFT formation energy (eV/atom): 0.201

---

Cu3RhPb | PBE-GGA | optimized geometry

a = 4.6866 Å, b = 4.6866 Å, c = 4.6866 Å
α = 90.00°, β = 90.00°, γ = 90.00°
Fractional coordinates of all 5 atoms:
Pb 0.5000 0.5000 0.5000
Rh 0.0000 0.0000 0.0000
Cu 0.0000 0.5000 0.0000
Cu 0.0000 0.0000 0.5000
Cu 0.5000 0.0000 0.0000

Output
Size of the total moment (μB/f.u.): 0.000
Total DFT energy (no corrections) (eV per atom): -3.940
DFT formation energy (eV/atom): 0.729

---

Cu2RhPb | PBE-GGA | optimized geometry

a = 3.3725 Å, b = 3.3725 Å, c = 5.7508 Å
α = 90.00°, β = 90.00°, γ = 89.97°
Fractional coordinates of all 4 atoms:
Cu 0.0000 0.0000 0.9635
Cu 0.0000 0.0000 0.5365
Pb 0.5000 0.5000 0.2500
Rh 0.5000 0.5000 0.7500

Output
Size of the total moment (μB/f.u.): 0.000
Total DFT energy (no corrections) (eV per atom): -4.613
DFT formation energy (eV/atom): 0.200

---

CuRhPb2 | PBE-GGA | optimized geometry

a = 4.5213 Å, b = 4.5213 Å, c = 6.1270 Å
α = 78.01°, β = 78.01°, γ = 43.42°
Fractional coordinates of all 4 atoms:
Cu 0.7500 0.7500 0.7500
Pb 0.9987 0.9987 0.0027
Pb 0.5013 0.5013 0.4973
Rh 0.2500 0.2500 0.2500

Output
Size of the total moment (μB/f.u.): 0.000
Total DFT energy (no corrections) (eV per atom): -4.452
DFT formation energy (eV/atom): 0.264